1.
{
  "formula": "Si3MoPt",
  "functional": "meta-GGA SCAN",
  "state": "single point on PBEsol structure",
  "magmom_total_mub_per_cell": 0.00,
  "formation_energy_uncorrected_ev_per_atom": 1.0049,
  "dos_at_fermi_per_ev_fu": 3.537,
  "vol_a3_per_atom": 19.407,
  "lattice": [[4.5953, 0.0000, 0.0000], [0.0000, 4.5953, 0.0000], [0.0000, 0.0000, 4.5953]],
  "species": ["Si", "Si", "Si", "Mo", "Pt"],
  "frac_coords": [[0.0000, 0.0000, 0.5000], [0.0000, 0.5000, 0.0000], [0.5000, 0.0000, 0.0000], [0.0000, 0.0000, 0.0000], [0.5000, 0.5000, 0.5000]]
}

2.
{
  "formula": "Cr2SbP",
  "functional": "meta-GGA SCAN",
  "state": "single point on PBEsol structure",
  "magmom_total_mub_per_cell": 12.00,
  "formation_energy_uncorrected_ev_per_atom": 0.0644,
  "dos_at_fermi_per_ev_fu": 1.449,
  "vol_a3_per_atom": 22.270,
  "lattice": [[-2.7020, 2.7020, 6.1009], [2.7020, -2.7020, 6.1009], [2.7020, 2.7020, -6.1009]],
  "species": ["Cr", "Cr", "Cr", "Cr", "Sb", "Sb", "P", "P"],
  "frac_coords": [[0.0674, 0.6250, 0.9424], [0.3750, 0.3174, 0.4424], [0.6826, 0.1250, 0.0576], [0.8750, 0.9326, 0.5576], [0.2500, 0.7500, 0.5000], [0.5000, 0.5000, 0.0000], [0.0000, 0.0000, 0.0000], [0.7500, 0.2500, 0.5000]]
}

3.
{
  "formula": "TbAl2Ge2",
  "functional": "meta-GGA SCAN",
  "state": "single point on PBEsol structure",
  "magmom_total_mub_per_cell": 0.00,
  "e_form_ev_per_atom": -0.470,
  "dos_at_fermi_per_ev_fu": 1.547,
  "vol_a3_per_atom": 20.310,
  "lattice": [[4.2296, 0.0000, 0.0000], [-2.1148, 3.6629, 0.0000], [0.0000, 0.0000, 6.5545]],
  "species": ["Tb", "Al", "Al", "Ge", "Ge"],
  "frac_coords": [[0.0000, 0.0000, 0.0000], [0.3333, 0.6667, 0.6461], [0.6667, 0.3333, 0.3539], [0.3333, 0.6667, 0.2565], [0.6667, 0.3333, 0.7435]]
}

4.
{
  "formula": "MgNiSCl2",
  "functional": "meta-GGA SCAN",
  "state": "single point on PBEsol structure",
  "magmom_total_mub_per_cell": 0.00,
  "formation_energy_uncorrected_ev_per_atom": -0.5854,
  "dos_at_fermi_per_ev_fu": 1.395,
  "vol_a3_per_atom": 18.397,
  "lattice": [[4.3954, 0.0000, 0.0000], [0.0000, 4.3954, 0.0000], [0.0000, 0.0000, 4.7613]],
  "species": ["Mg", "Ni", "S", "Cl", "Cl"],
  "frac_coords": [[0.0000, 0.0000, 0.0000], [0.5000, 0.5000, 0.5000], [0.5000, 0.5000, 0.0000], [0.0000, 0.5000, 0.5000], [0.5000, 0.0000, 0.5000]]
}

5.
{
  "formula": "ZrCdW",
  "functional": "meta-GGA SCAN",
  "state": "single point on PBEsol structure",
  "magmom_total_mub_per_cell": 0.00,
  "e_form_ev_per_atom": 0.420,
  "dos_at_fermi_per_ev_fu": 3.187,
  "polymorph_energy_ev_per_fu": 0.365,
  "vol_a3_per_atom": 18.805,
  "lattice": [[-1.7373, 1.7373, 4.6728], [1.7373, -1.7373, 4.6728], [1.7373, 1.7373, -4.6728]],
  "species": ["Zr", "Cd", "W"],
  "frac_coords": [[0.0000, 0.0000, 0.0000], [0.3170, 0.3170, 0.0000], [0.6525, 0.6525, 0.0000]]
}

6.
{
  "formula": "GaSnB2Au",
  "functional": "meta-GGA SCAN",
  "state": "single point on PBEsol structure",
  "magmom_total_mub_per_cell": 0.00,
  "e_form_ev_per_atom": 1.742,
  "dos_at_fermi_per_ev_fu": 1.940,
  "vol_a3_per_atom": 20.370,
  "lattice": [[4.3594, 0.0000, 0.0000], [0.0000, 4.3594, 0.0000], [0.0000, 0.0000, 5.3595]],
  "species": ["Ga", "Sn", "B", "B", "Au"],
  "frac_coords": [[0.0000, 0.0000, 0.0000], [0.0000, 0.0000, 0.5000], [0.0000, 0.5000, 0.5000], [0.5000, 0.0000, 0.5000], [0.5000, 0.5000, 0.0000]]
}

7.
{
  "formula": "BaNi3",
  "functional": "meta-GGA SCAN",
  "state": "single point on PBEsol structure",
  "magmom_total_mub_per_cell": 1.68,
  "e_form_ev_per_atom": 0.534,
  "dos_at_fermi_per_ev_fu": 3.007,
  "vol_a3_per_atom": 16.413,
  "lattice": [[3.0750, 0.0000, 0.0000], [0.0000, 3.0852, 0.0000], [0.0000, 0.0000, 6.9205]],
  "species": ["Ba", "Ni", "Ni", "Ni"],
  "frac_coords": [[0.0000, 0.0000, 0.0000], [0.0000, 0.0000, 0.5000], [0.5000, 0.5000, 0.3347], [0.5000, 0.5000, 0.6653]]
}

8.
{
  "formula": "TaMn2Tc",
  "functional": "meta-GGA SCAN",
  "state": "single point on PBEsol structure",
  "magmom_total_mub_per_cell": 3.74,
  "e_form_ev_per_atom": -0.029,
  "dos_at_fermi_per_ev_fu": 3.824,
  "polymorph_energy_ev_per_fu": 0.000,
  "vol_a3_per_atom": 13.427,
  "lattice": [[2.6667, 0.0000, 0.0000], [0.0000, 4.0381, 0.0000], [-1.0758, 0.0000, 4.9876]],
  "species": ["Ta", "Mn", "Mn", "Tc"],
  "frac_coords": [[0.0000, 0.0000, 0.0000], [0.2484, 0.5000, 0.7407], [0.7516, 0.5000, 0.2593], [0.5000, 0.0000, 0.5000]]
}

no.,final energy (eV per cell)
1,-130.10
2,-168.34
3,-102.79
4,-49.66
5,-129.54
6,-127.57
7,-85.93
8,-138.27